(1)
TcIr3Os: optimized geometry, PBE-GGA.

abc: 7.8937 7.8729 7.8729
angles: 65.84 52.97 52.97
Sites, in units of the cell vectors:
Ir 0.9693 0.5582 0.3394
Tc 0.7500 0.0042 0.9958
Ir 0.1916 0.7186 0.9834
Ir 0.3084 0.0166 0.2814
Tc 0.2500 0.9958 0.0042
Os 0.4051 0.2663 0.3048
Ir 0.8286 0.9767 0.3197
Ir 0.0307 0.4418 0.6606
Tc 0.7500 0.3246 0.6754
Ir 0.5307 0.6606 0.4418
Ir 0.8084 0.2814 0.0166
Ir 0.3286 0.3197 0.9767
Ir 0.6916 0.9834 0.7186
Os 0.5949 0.7337 0.6952
Ir 0.6714 0.6803 0.0233
Ir 0.4693 0.3394 0.5582
Ir 0.1714 0.0233 0.6803
Os 0.0949 0.6952 0.7337
Tc 0.2500 0.6754 0.3246
Os 0.9051 0.3048 0.2663

## Properties
Magnetization   0.0 μB per cell
Fermi-level density of states   17.25 states/eV per cell
Volume   15.55 Å³ per atom
Space group   C2/c
DFT formation energy   277 meV per atom
Energy relative to the lowest polymorph listed for this composition   1.74 eV per formula unit


(2)
GeAs2Se2: optimized geometry, PBE-GGA.

abc: 8.0570 8.0570 3.6079
angles: 90.00 90.00 90.00
Sites, in units of the cell vectors:
As 0.7051 0.2051 0.0000
Ge 0.0000 0.0000 0.0000
Se 0.3529 0.1471 0.5000
Se 0.6471 0.8529 0.5000
Se 0.8529 0.3529 0.5000
As 0.2051 0.2949 0.0000
As 0.7949 0.7051 0.0000
Ge 0.5000 0.5000 0.0000
Se 0.1471 0.6471 0.5000
As 0.2949 0.7949 0.0000

## Properties
Magnetization   0.0 μB per cell
E_form (uncorrected)   0.167 eV per atom
Fermi-level density of states   4.21 states/eV per cell
Volume   23.42 Å³ per atom
Space group   P4/mbm


(3)
MnHgTe2: optimized geometry, PBE-GGA.

abc: 5.1862 5.1862 4.0927
angles: 90.00 90.00 107.90
Last column: magnetic moment on the atom in μB.
Sites, in units of the cell vectors:
Mn 0.0000 0.5000 0.5000  4.19
Hg 0.5000 0.0000 0.5000  -0.03
Te 0.0000 0.0000 0.0000  -0.01
Te 0.5000 0.5000 0.0000  -0.01

## Properties
Magnetization   4.5 μB per cell
E_form (uncorrected)   0.308 eV per atom
Fermi-level density of states   2.19 states/eV per cell
Volume   26.19 Å³ per atom
Space group   Cmmm


(4)
ReAgBiO5: optimized geometry, PBE-GGA.

abc: 6.1997 6.1997 8.4351
angles: 103.63 103.63 101.27
Last column: magnetic moment on the atom in μB.
Sites, in units of the cell vectors:
O 0.0863 0.9137 0.2500  0.01
O 0.9137 0.0863 0.7500  0.01
O 0.6306 0.7014 0.9006  0.03
O 0.6943 0.1612 0.3789  0.05
Ag 0.3101 0.6899 0.2500  0.01
O 0.1612 0.6943 0.8789  0.05
O 0.7014 0.6306 0.4006  0.03
Re 0.6489 0.3511 0.2500  0.58
O 0.3057 0.8388 0.6211  0.05
Bi 0.0000 0.0000 0.5000  0.07
O 0.2986 0.3694 0.5994  0.03
Ag 0.6899 0.3101 0.7500  0.01
O 0.3694 0.2986 0.0994  0.03
O 0.8388 0.3057 0.1211  0.05
Re 0.3511 0.6489 0.7500  0.58
Bi 0.0000 0.0000 0.0000  0.07

## Properties
Magnetization   2.0 μB per cell
E_form (uncorrected)   -1.026 eV per atom
Fermi-level density of states   3.36 states/eV per cell
Volume   18.45 Å³ per atom
Space group   C2/c